1.
Entry from Alexandria via LeMat-Bulk: MnSeI3 at its PBEsol-relaxed geometry (SCAN).

Energy above the lowest structure with this stoichiometry   169.8 meV per atom
Calculated volume   182 Å³ per cell
ΔE_f (raw)   1.34 eV/f.u.
Raw total energy   -29.444 eV per atom

a b c (Å): 5.6626 5.6626 5.6626
angles (deg): 90.00 90.00 90.00
Positions (direct):
Mn  0.0000  0.0000  0.0000
Se  0.5000  0.5000  0.5000
I  0.0000  0.5000  0.5000
I  0.5000  0.0000  0.5000
I  0.5000  0.5000  0.0000

2.
Entry from Alexandria via LeMat-Bulk: Co3Ni2 at its PBEsol-relaxed geometry (SCAN).

Energy above the lowest structure with this stoichiometry   76.3 meV per atom
Calculated volume   105 Å³ per cell
E_form   0.10 eV/atom
Raw total energy   -16.752 eV per atom

a b c (Å): 6.3017 4.6547 7.2264
angles (deg): 59.47 39.51 81.02
Positions (direct):
Co  0.0000  0.0000  0.0000
Co  0.2500  0.2500  0.2500
Co  0.4145  0.5404  0.3880
Co  0.5404  0.4145  0.6571
Co  0.5929  0.8620  0.7096
Co  0.8620  0.5929  0.8355
Ni  0.1327  0.7782  0.2695
Ni  0.4304  0.9805  0.4718
Ni  0.7782  0.1327  0.8196
Ni  0.9805  0.4304  0.1173

3.
Entry from Alexandria via LeMat-Bulk: Na3GdI6 at its PBEsol-relaxed geometry (SCAN).

Calculated volume   380 Å³ per cell
ΔE_f (raw)   -14.53 eV/f.u.
Raw total energy   -30.644 eV per atom

a b c (Å): 7.7314 7.7314 7.7550
angles (deg): 99.84 99.84 119.48
Positions (direct):
Na  0.0000  0.0000  0.0000
Na  0.3347  0.6653  0.0000
Na  0.8379  0.1621  0.5000
Gd  0.6663  0.3337  0.0000
I  0.0666  0.4145  0.2450
I  0.2646  0.2497  0.7570
I  0.4312  0.0954  0.2410
I  0.5855  0.9334  0.7550
I  0.7503  0.7354  0.2430
I  0.9046  0.5688  0.7590

4.
Entry from Alexandria via LeMat-Bulk: BaTa3N at its PBEsol-relaxed geometry (SCAN).

Calculated volume   88 Å³ per cell
ΔE_f (raw)   3.16 eV/f.u.
Raw total energy   -49.086 eV per atom

a b c (Å): 4.4439 4.4439 4.4439
angles (deg): 90.00 90.00 90.00
Positions (direct):
Ba  0.0000  0.0000  0.0000
Ta  0.0000  0.5000  0.5000
Ta  0.5000  0.0000  0.5000
Ta  0.5000  0.5000  0.0000
N  0.5000  0.5000  0.5000

5.
Entry from Alexandria via LeMat-Bulk: ReIr2Pt at its PBEsol-relaxed geometry (SCAN).

Energy above the lowest structure with this stoichiometry   54.0 meV per atom
Calculated volume   115 Å³ per cell
E_form   -0.09 eV/atom
Raw total energy   -70.961 eV per atom

a b c (Å): 9.0703 2.7145 4.7251
angles (deg): 90.00 99.72 90.00
Positions (direct):
Re  0.0000  0.0000  0.0000
Re  0.5000  0.5000  0.0000
Ir  0.2450  0.5000  0.2419
Ir  0.2550  0.0000  0.7581
Ir  0.7450  0.0000  0.2419
Ir  0.7550  0.5000  0.7581
Pt  0.0000  0.5000  0.5000
Pt  0.5000  0.0000  0.5000

6.
Entry from Alexandria via LeMat-Bulk: Mn2InTcTe at its PBEsol-relaxed geometry (SCAN).

Calculated volume   109 Å³ per cell
ΔE_f (raw)   4.59 eV/f.u.
Raw total energy   -27.523 eV per atom

a b c (Å): 4.7013 4.7013 4.9284
angles (deg): 90.00 90.00 90.00
Positions (direct):
Mn  0.0000  0.5000  0.0000
Mn  0.5000  0.0000  0.0000
In  0.0000  0.0000  0.5000
Tc  0.5000  0.5000  0.5000
Te  0.5000  0.5000  0.0000

> The lowest raw total energy belongs to which entry?

ReIr2Pt

> Which value of calculated volume does entry 3 give?

380 Å³ per cell

> Look up the calculated volume of the fifth one.

115 Å³ per cell

Please write out number 3 again, unchanged.
Entry from Alexandria via LeMat-Bulk: Na3GdI6 at its PBEsol-relaxed geometry (SCAN).

Calculated volume   380 Å³ per cell
ΔE_f (raw)   -14.53 eV/f.u.
Raw total energy   -30.644 eV per atom

a b c (Å): 7.7314 7.7314 7.7550
angles (deg): 99.84 99.84 119.48
Positions (direct):
Na  0.0000  0.0000  0.0000
Na  0.3347  0.6653  0.0000
Na  0.8379  0.1621  0.5000
Gd  0.6663  0.3337  0.0000
I  0.0666  0.4145  0.2450
I  0.2646  0.2497  0.7570
I  0.4312  0.0954  0.2410
I  0.5855  0.9334  0.7550
I  0.7503  0.7354  0.2430
I  0.9046  0.5688  0.7590